[1]
DFT (PBE) results for crystalline Ca4ReCl at its relaxed geometry.

Cell and atoms, written as POSCAR:
```
Ca4ReCl
1.0
6.0591 -1.6081 1.6830
1.2646 -5.9418 2.2864
3.3597 -4.2197 -3.6108
Ca Re Cl
4 1 1
direct
0.8805 0.3732 0.3732
0.3732 0.3732 0.8805
0.3732 0.8805 0.3732
0.3732 0.3732 0.3732
0.0000 0.0000 0.0000
0.7500 0.7500 0.7500
```

Calculated values
The value obtained for the theoretical density is 3.280 Mg/m³. As for the space-group type: F-43m. Its magnetic moment is 1.8 μB per cell. The energy relative to the elements, uncorrected is 904 meV per atom. As for the final energy: -2.813 eV per atom.


[2]
DFT (PBE) results for crystalline CaReCl2 at its relaxed geometry.

Cell and atoms, written as POSCAR:
```
CaReCl2
1.0
11.0396 -0.2359 -0.1380
10.5397 3.2931 -0.1380
10.5397 1.4932 2.9384
Re Ca Cl
1 1 2
direct
0.2500 0.2500 0.2500
0.7500 0.7500 0.7500
0.0319 0.0319 0.0319
0.4681 0.4681 0.4681
```

Calculated values
The value obtained for the theoretical density is 4.134 Mg/m³. As for the space-group type: R-3m. Its magnetic moment is 4.0 μB per cell. The energy relative to the elements, uncorrected is -27 meV per atom. As for the final energy: -4.562 eV per atom.


[3]
DFT (PBE) results for crystalline CaReCl2 at its relaxed geometry.

Cell and atoms, written as POSCAR:
```
CaReCl2
1.0
-3.3629 2.4723 -2.3402
0.4145 -2.9677 -3.7308
-6.9264 -4.8056 -0.0158
Re Ca Cl
2 2 4
direct
0.0000 0.0000 0.0000
0.7500 0.2500 0.5000
0.5000 0.5000 0.0000
0.2500 0.7500 0.5000
0.6853 0.1250 0.2500
0.0647 0.6250 0.2500
0.3750 0.3147 0.7500
0.8750 0.9353 0.7500
```

Calculated values
The value obtained for the theoretical density is 5.582 Mg/m³. As for the space-group type: I-42d. Its magnetic moment is 2.0 μB per cell. The energy relative to the elements, uncorrected is 32 meV per atom. As for the final energy: -4.504 eV per atom.


[4]
DFT (PBE) results for crystalline CaReCl2 at its relaxed geometry.

Cell and atoms, written as POSCAR:
```
CaReCl2
1.0
6.5641 -0.0061 0.0000
4.3357 4.9284 0.0000
-5.4499 -2.4612 2.7071
Re Ca Cl
1 1 2
direct
0.5000 0.5000 0.0000
0.7500 0.2500 0.5000
0.0000 0.0000 0.0000
0.2500 0.7500 0.5000
```

Calculated values
The value obtained for the theoretical density is 5.630 Mg/m³. As for the space-group type: I-4m2. Its magnetic moment is 3.0 μB per cell. The energy relative to the elements, uncorrected is 162 meV per atom. As for the final energy: -4.374 eV per atom.


[5]
DFT (PBE) results for crystalline CaReCl2 at its relaxed geometry.

Cell and atoms, written as POSCAR:
```
CaReCl2
1.0
9.1952 0.0434 -0.0065
8.0473 4.4493 0.0065
-8.6118 -2.2825 2.2762
Re Ca Cl
1 1 2
direct
0.4554 0.4554 0.0000
0.3091 0.8091 0.5000
0.0126 0.0126 0.0000
0.7229 0.2229 0.5000
```

Calculated values
The value obtained for the theoretical density is 5.345 Mg/m³. As for the space-group type: Imm2. Its magnetic moment is 0.0 μB per cell. The energy relative to the elements, uncorrected is -186 meV per atom. As for the final energy: -4.721 eV per atom.


[6]
DFT (PBE) results for crystalline CaReCl2 at its relaxed geometry.

Cell and atoms, written as POSCAR:
```
CaReCl2
1.0
-3.3097 3.8863 0.7605
-4.7397 -0.2121 -2.0313
-4.0958 -0.6619 3.0696
Re Ca Cl
1 1 2
direct
0.7500 0.7500 0.7500
0.5000 0.5000 0.5000
0.0000 0.0000 0.0000
0.2500 0.2500 0.2500
```

Calculated values
The value obtained for the theoretical density is 5.077 Mg/m³. As for the space-group type: F-43m. Its magnetic moment is 5.0 μB per cell. The energy relative to the elements, uncorrected is 522 meV per atom. As for the final energy: -4.014 eV per atom.